Entry 1:
# CaPuF4, optimized geometry, DFT PBE
data_CaPuF4
_chemical_formula_sum 'Ca1 Pu1 F4'
_cell_length_a 3.9389
_cell_length_b 3.9389
_cell_length_c 5.9177
_cell_angle_alpha 90.00
_cell_angle_beta 90.00
_cell_angle_gamma 90.00
_space_group_name_H-M_alt 'P 1'
_space_group_IT_number 1
_space_group_name_Hall 'P 1'
loop_
_atom_site_label
_atom_site_type_symbol
_atom_site_fract_x
_atom_site_fract_y
_atom_site_fract_z
Ca1 Ca 0.0000 0.0000 0.0000
Pu1 Pu 0.5000 0.5000 0.5000
F1 F 0.0000 0.5000 0.2296
F2 F 0.0000 0.5000 0.7704
F3 F 0.5000 0.0000 0.2296
F4 F 0.5000 0.0000 0.7704
# Magnetic moment (μB/f.u.): 5.99
# DOS(E_F) (states/eV per cell): 4.99
# Formation energy from raw total energies (eV per atom): -3.51



Entry 2:
# RbCaPuF6, optimized geometry, DFT PBE
data_RbCaPuF6
_chemical_formula_sum 'Rb2 Ca2 Pu2 F12'
_cell_length_a 8.4861
_cell_length_b 8.4861
_cell_length_c 8.4861
_cell_angle_alpha 121.48
_cell_angle_beta 118.96
_cell_angle_gamma 89.63
_space_group_name_H-M_alt 'P 1'
_space_group_IT_number 1
_space_group_name_Hall 'P 1'
loop_
_atom_site_label
_atom_site_type_symbol
_atom_site_fract_x
_atom_site_fract_y
_atom_site_fract_z
Rb1 Rb 0.2800 0.0300 0.2500
Rb2 Rb 0.7200 0.9700 0.7500
Ca1 Ca 0.0000 0.0000 0.5000
Ca2 Ca 0.0000 0.5000 0.0000
Pu1 Pu 0.0000 0.5000 0.5000
Pu2 Pu 0.5000 0.5000 0.0000
F1 F 0.0410 0.4016 0.2192
F2 F 0.0410 0.8218 0.6395
F3 F 0.0582 0.8082 0.2500
F4 F 0.3177 0.1782 0.7192
F5 F 0.3177 0.5984 0.1395
F6 F 0.3204 0.5704 0.7500
F7 F 0.6796 0.4296 0.2500
F8 F 0.6823 0.4016 0.8605
F9 F 0.6823 0.8218 0.2808
F10 F 0.9418 0.1918 0.7500
F11 F 0.9590 0.1782 0.3605
F12 F 0.9590 0.5984 0.7808
# Magnetic moment (μB/f.u.): 5.00
# DOS(E_F) (states/eV per cell): 9.91
# Formation energy from raw total energies (eV per atom): -3.47



Entry 3:
# Rb2Ca3PuF12, optimized geometry, DFT PBE
data_Rb2Ca3PuF12
_chemical_formula_sum 'Rb2 Ca3 Pu1 F12'
_cell_length_a 8.4798
_cell_length_b 8.4798
_cell_length_c 8.4798
_cell_angle_alpha 57.07
_cell_angle_beta 57.07
_cell_angle_gamma 57.07
_space_group_name_H-M_alt 'P 1'
_space_group_IT_number 1
_space_group_name_Hall 'P 1'
loop_
_atom_site_label
_atom_site_type_symbol
_atom_site_fract_x
_atom_site_fract_y
_atom_site_fract_z
Rb1 Rb 0.0830 0.0830 0.0830
Rb2 Rb 0.9170 0.9170 0.9170
Ca1 Ca 0.0000 0.5000 0.5000
Ca2 Ca 0.5000 0.0000 0.5000
Ca3 Ca 0.5000 0.5000 0.0000
Pu1 Pu 0.5000 0.5000 0.5000
F1 F 0.1698 0.1698 0.5883
F2 F 0.1698 0.5883 0.1698
F3 F 0.1918 0.5650 0.5650
F4 F 0.4117 0.8302 0.8302
F5 F 0.4350 0.4350 0.8082
F6 F 0.4350 0.8082 0.4350
F7 F 0.5650 0.1918 0.5650
F8 F 0.5650 0.5650 0.1918
F9 F 0.5883 0.1698 0.1698
F10 F 0.8082 0.4350 0.4350
F11 F 0.8302 0.4117 0.8302
F12 F 0.8302 0.8302 0.4117
# Magnetic moment (μB/f.u.): 4.00
# Formation energy from raw total energies (eV per atom): -3.50



Entry 4:
# CaPuTlF6, optimized geometry, DFT PBE
data_CaPuTlF6
_chemical_formula_sum 'Ca2 Pu2 Tl2 F12'
_cell_length_a 6.3494
_cell_length_b 6.3494
_cell_length_c 10.7610
_cell_angle_alpha 90.00
_cell_angle_beta 90.00
_cell_angle_gamma 120.00
_space_group_name_H-M_alt 'P 1'
_space_group_IT_number 1
_space_group_name_Hall 'P 1'
loop_
_atom_site_label
_atom_site_type_symbol
_atom_site_fract_x
_atom_site_fract_y
_atom_site_fract_z
Ca1 Ca 0.3333 0.6667 0.2500
Ca2 Ca 0.6667 0.3333 0.7500
Pu1 Pu 0.3333 0.6667 0.7500
Pu2 Pu 0.6667 0.3333 0.2500
Tl1 Tl 0.0000 0.0000 0.0000
Tl2 Tl 0.0000 0.0000 0.5000
F1 F 0.0016 0.3758 0.1446
F2 F 0.0016 0.6258 0.3554
F3 F 0.3742 0.3758 0.3554
F4 F 0.3742 0.9984 0.1446
F5 F 0.3758 0.0016 0.6446
F6 F 0.3758 0.3742 0.8554
F7 F 0.6242 0.6258 0.1446
F8 F 0.6242 0.9984 0.3554
F9 F 0.6258 0.0016 0.8554
F10 F 0.6258 0.6242 0.6446
F11 F 0.9984 0.3742 0.6446
F12 F 0.9984 0.6242 0.8554
# Magnetic moment (μB/f.u.): 5.00
# DOS(E_F) (states/eV per cell): 13.09
# Formation energy from raw total energies (eV per atom): -3.26



Entry 5:
# RbCaF3, optimized geometry, DFT PBE
data_RbCaF3
_chemical_formula_sum 'Rb4 Ca4 F12'
_cell_length_a 8.2284
_cell_length_b 8.2284
_cell_length_c 6.1115
_cell_angle_alpha 91.19
_cell_angle_beta 91.19
_cell_angle_gamma 88.21
_space_group_name_H-M_alt 'P 1'
_space_group_IT_number 1
_space_group_name_Hall 'P 1'
loop_
_atom_site_label
_atom_site_type_symbol
_atom_site_fract_x
_atom_site_fract_y
_atom_site_fract_z
Rb1 Rb 0.1001 0.3037 0.2976
Rb2 Rb 0.3037 0.1001 0.7976
Rb3 Rb 0.6963 0.8999 0.2024
Rb4 Rb 0.8999 0.6963 0.7024
Ca1 Ca 0.2498 0.7502 0.2500
Ca2 Ca 0.4216 0.5784 0.7500
Ca3 Ca 0.5784 0.4216 0.2500
Ca4 Ca 0.7502 0.2498 0.7500
F1 F 0.0010 0.2483 0.8703
F2 F 0.1945 0.6024 0.5490
F3 F 0.2483 0.0010 0.3703
F4 F 0.3322 0.4854 0.0790
F5 F 0.3976 0.8055 0.9510
F6 F 0.4854 0.3322 0.5790
F7 F 0.5146 0.6678 0.4210
F8 F 0.6024 0.1945 0.0490
F9 F 0.6678 0.5146 0.9210
F10 F 0.7517 0.9990 0.6297
F11 F 0.8055 0.3976 0.4510
F12 F 0.9990 0.7517 0.1297
# Magnetic moment (μB/f.u.): 0.00
# DOS(E_F) (states/eV per cell): 0.00
# Formation energy from raw total energies (eV per atom): -3.40



Entry 6:
# Rb3CaF, optimized geometry, DFT PBE
data_Rb3CaF
_chemical_formula_sum 'Rb3 Ca1 F1'
_cell_length_a 6.2080
_cell_length_b 6.2080
_cell_length_c 6.2080
_cell_angle_alpha 90.00
_cell_angle_beta 90.00
_cell_angle_gamma 90.00
_space_group_name_H-M_alt 'P 1'
_space_group_IT_number 1
_space_group_name_Hall 'P 1'
loop_
_atom_site_label
_atom_site_type_symbol
_atom_site_fract_x
_atom_site_fract_y
_atom_site_fract_z
Rb1 Rb 0.0000 0.0000 0.5000
Rb2 Rb 0.0000 0.5000 0.0000
Rb3 Rb 0.5000 0.0000 0.0000
Ca1 Ca 0.5000 0.5000 0.5000
F1 F 0.0000 0.0000 0.0000
# Magnetic moment (μB/f.u.): 0.00
# DOS(E_F) (states/eV per cell): 4.86
# Formation energy from raw total energies (eV per atom): -0.82
# Energy above the lowest structure with this stoichiometry (meV/atom): 0



Entry 7:
# RbCaF2, optimized geometry, DFT PBE
data_RbCaF2
_chemical_formula_sum 'Rb1 Ca1 F2'
_cell_length_a 8.0256
_cell_length_b 8.0256
_cell_length_c 8.0256
_cell_angle_alpha 28.08
_cell_angle_beta 28.08
_cell_angle_gamma 28.08
_space_group_name_H-M_alt 'P 1'
_space_group_IT_number 1
_space_group_name_Hall 'P 1'
loop_
_atom_site_label
_atom_site_type_symbol
_atom_site_fract_x
_atom_site_fract_y
_atom_site_fract_z
Rb1 Rb 0.0000 0.0000 0.0000
Ca1 Ca 0.5000 0.5000 0.5000
F1 F 0.1291 0.1291 0.1291
F2 F 0.8709 0.8709 0.8709
# Magnetic moment (μB/f.u.): 0.00
# DOS(E_F) (states/eV per cell): 1.14
# Formation energy from raw total energies (eV per atom): -2.70
# Energy above the lowest structure with this stoichiometry (meV/atom): 0



Entry 8:
# RbCaF3, optimized geometry, DFT PBE
data_RbCaF3
_chemical_formula_sum 'Rb1 Ca1 F3'
_cell_length_a 3.5250
_cell_length_b 6.9128
_cell_length_c 6.9128
_cell_angle_alpha 66.57
_cell_angle_beta 90.00
_cell_angle_gamma 90.00
_space_group_name_H-M_alt 'P 1'
_space_group_IT_number 1
_space_group_name_Hall 'P 1'
loop_
_atom_site_label
_atom_site_type_symbol
_atom_site_fract_x
_atom_site_fract_y
_atom_site_fract_z
Rb1 Rb 0.0000 0.0000 0.0000
Ca1 Ca 0.5000 0.3546 0.3546
F1 F 0.0000 0.2125 0.5764
F2 F 0.0000 0.5764 0.2125
F3 F 0.5000 0.1693 0.1693
# Magnetic moment (μB/f.u.): 0.13
# DOS(E_F) (states/eV per cell): 0.00
# Formation energy from raw total energies (eV per atom): -3.29



Entry 9:
# RbCaF3, optimized geometry, DFT PBE
data_RbCaF3
_chemical_formula_sum 'Rb1 Ca1 F3'
_cell_length_a 4.5125
_cell_length_b 4.5125
_cell_length_c 4.5125
_cell_angle_alpha 90.00
_cell_angle_beta 90.00
_cell_angle_gamma 90.00
_space_group_name_H-M_alt 'P 1'
_space_group_IT_number 1
_space_group_name_Hall 'P 1'
loop_
_atom_site_label
_atom_site_type_symbol
_atom_site_fract_x
_atom_site_fract_y
_atom_site_fract_z
Rb1 Rb 0.0000 0.0000 0.0000
Ca1 Ca 0.5000 0.5000 0.5000
F1 F 0.0000 0.5000 0.5000
F2 F 0.5000 0.0000 0.5000
F3 F 0.5000 0.5000 0.0000
# Magnetic moment (μB/f.u.): 0.00
# DOS(E_F) (states/eV per cell): 0.00
# Formation energy from raw total energies (eV per atom): -3.47



Entry 10:
# RbCa3F, optimized geometry, DFT PBE
data_RbCa3F
_chemical_formula_sum 'Rb1 Ca3 F1'
_cell_length_a 5.6971
_cell_length_b 5.6971
_cell_length_c 5.6971
_cell_angle_alpha 90.00
_cell_angle_beta 90.00
_cell_angle_gamma 90.00
_space_group_name_H-M_alt 'P 1'
_space_group_IT_number 1
_space_group_name_Hall 'P 1'
loop_
_atom_site_label
_atom_site_type_symbol
_atom_site_fract_x
_atom_site_fract_y
_atom_site_fract_z
Rb1 Rb 0.0000 0.0000 0.0000
Ca1 Ca 0.0000 0.5000 0.5000
Ca2 Ca 0.5000 0.0000 0.5000
Ca3 Ca 0.5000 0.5000 0.0000
F1 F 0.5000 0.5000 0.5000
# Magnetic moment (μB/f.u.): 0.00
# DOS(E_F) (states/eV per cell): 3.39
# Formation energy from raw total energies (eV per atom): -0.73
# Energy above the lowest structure with this stoichiometry (meV/atom): 0



Entry 11:
# RbCaF3, optimized geometry, DFT PBE
data_RbCaF3
_chemical_formula_sum 'Rb4 Ca4 F12'
_cell_length_a 8.3072
_cell_length_b 8.3072
_cell_length_c 8.3072
_cell_angle_alpha 60.00
_cell_angle_beta 60.00
_cell_angle_gamma 60.00
_space_group_name_H-M_alt 'P 1'
_space_group_IT_number 1
_space_group_name_Hall 'P 1'
loop_
_atom_site_label
_atom_site_type_symbol
_atom_site_fract_x
_atom_site_fract_y
_atom_site_fract_z
Rb1 Rb 0.0000 0.0000 0.0000
Rb2 Rb 0.0000 0.0000 0.5000
Rb3 Rb 0.0000 0.5000 0.0000
Rb4 Rb 0.5000 0.0000 0.0000
Ca1 Ca 0.0000 0.5000 0.5000
Ca2 Ca 0.5000 0.0000 0.5000
Ca3 Ca 0.5000 0.5000 0.0000
Ca4 Ca 0.5000 0.5000 0.5000
F1 F 0.1695 0.1695 0.5805
F2 F 0.1695 0.5805 0.1695
F3 F 0.1695 0.5805 0.5805
F4 F 0.4195 0.4195 0.8305
F5 F 0.4195 0.8305 0.4195
F6 F 0.4195 0.8305 0.8305
F7 F 0.5805 0.1695 0.1695
F8 F 0.5805 0.1695 0.5805
F9 F 0.5805 0.5805 0.1695
F10 F 0.8305 0.4195 0.4195
F11 F 0.8305 0.4195 0.8305
F12 F 0.8305 0.8305 0.4195
# Magnetic moment (μB/f.u.): 0.00
# DOS(E_F) (states/eV per cell): 0.00
# Formation energy from raw total energies (eV per atom): -3.40



Entry 12:
# RbCa2F, optimized geometry, DFT PBE
data_RbCa2F
_chemical_formula_sum 'Rb2 Ca4 F2'
_cell_length_a 7.7760
_cell_length_b 7.7760
_cell_length_c 7.7760
_cell_angle_alpha 119.90
_cell_angle_beta 119.90
_cell_angle_gamma 90.17
_space_group_name_H-M_alt 'P 1'
_space_group_IT_number 1
_space_group_name_Hall 'P 1'
loop_
_atom_site_label
_atom_site_type_symbol
_atom_site_fract_x
_atom_site_fract_y
_atom_site_fract_z
Rb1 Rb 0.3750 0.6250 0.7500
Rb2 Rb 0.6250 0.3750 0.2500
Ca1 Ca 0.0000 0.0000 0.0000
Ca2 Ca 0.0000 0.0000 0.5000
Ca3 Ca 0.0000 0.5000 0.0000
Ca4 Ca 0.5000 0.0000 0.5000
F1 F 0.1250 0.8750 0.2500
F2 F 0.8750 0.1250 0.7500
# Magnetic moment (μB/f.u.): 0.00
# DOS(E_F) (states/eV per cell): 5.12
# Formation energy from raw total energies (eV per atom): -1.24
# Energy above the lowest structure with this stoichiometry (meV/atom): 0